Compound: BaSrAgAs
Source: Alexandria
Functional: GGA-PBE
Structure: relaxed

Results
**DOS at the Fermi energy**: 0.05 states/eV per cell
**E**: -3.4805 eV per atom

Lattice parameters (Å, degrees): 7.9200 7.9200 7.9200 90.00 90.00 90.00
Closest atoms and distances in Å follow each position.
Fractional coordinates of all 16 atoms:
Ba: 0.0000 0.0000 0.0000  4 As 3.43, 4 Ag 3.43
Ba: 0.0000 0.5000 0.5000  4 As 3.43, 4 Ag 3.43
Ba: 0.5000 0.0000 0.5000  4 As 3.43, 4 Ag 3.43
Ba: 0.5000 0.5000 0.0000  4 As 3.43, 4 Ag 3.43
Sr: 0.0000 0.0000 0.5000  4 As 3.43, 4 Ag 3.43
Sr: 0.0000 0.5000 0.0000  4 As 3.43, 4 Ag 3.43
Sr: 0.5000 0.0000 0.0000  4 As 3.43, 4 Ag 3.43
Sr: 0.5000 0.5000 0.5000  4 Ag 3.43, 4 As 3.43
Ag: 0.2500 0.2500 0.2500  4 Ba 3.43, 4 Sr 3.43
Ag: 0.2500 0.7500 0.7500  4 Ba 3.43, 4 Sr 3.43
Ag: 0.7500 0.2500 0.7500  4 Ba 3.43, 4 Sr 3.43
Ag: 0.7500 0.7500 0.2500  4 Ba 3.43, 4 Sr 3.43
As: 0.2500 0.2500 0.7500  4 Ba 3.43, 4 Sr 3.43
As: 0.2500 0.7500 0.2500  4 Ba 3.43, 4 Sr 3.43
As: 0.7500 0.2500 0.2500  4 Ba 3.43, 4 Sr 3.43
As: 0.7500 0.7500 0.7500  4 Ba 3.43, 4 Sr 3.43



Compound: HfTc2Au2
Source: Alexandria
Functional: GGA-PBE
Structure: relaxed

Results
**DOS at the Fermi energy**: 4.85 states/eV per cell
**E**: -7.2427 eV per atom

Lattice parameters (Å, degrees): 3.9944 3.9944 11.8685 90.00 90.00 90.00
Closest atoms and distances in Å follow each position.
Fractional coordinates of all 10 atoms:
Hf: 0.0000 0.0000 0.0000  8 Tc 3.03
Hf: 0.5000 0.5000 0.5000  8 Tc 3.03
Tc: 0.0000 0.0000 0.4086  1 Tc 2.17
Tc: 0.0000 0.0000 0.5914  1 Tc 2.17
Tc: 0.5000 0.5000 0.0914  1 Tc 2.17
Tc: 0.5000 0.5000 0.9086  1 Tc 2.17
Au: 0.0000 0.5000 0.2500  4 Tc 2.74, 4 Au 2.82
Au: 0.0000 0.5000 0.7500  4 Tc 2.74, 4 Au 2.82
Au: 0.5000 0.0000 0.2500  4 Tc 2.74, 4 Au 2.82
Au: 0.5000 0.0000 0.7500  4 Tc 2.74, 4 Au 2.82



Compound: Cu2PtS4
Source: Alexandria
Functional: GGA-PBE
Structure: relaxed

Results
**DOS at the Fermi energy**: 8.50 states/eV per cell
**ΔE_f (raw)**: -213 meV/atom
**E**: -4.6049 eV per atom

Lattice parameters (Å, degrees): 7.1170 7.1170 7.1170 123.50 120.93 86.22
Closest atoms and distances in Å follow each position.
Fractional coordinates of all 14 atoms:
Cu: 0.0000 0.0000 0.5000  6 S 2.33-2.59
Cu: 0.0000 0.5000 0.0000  6 S 2.33-2.59
Cu: 0.4010 0.1510 0.2500  4 S 2.28-2.34
Cu: 0.5990 0.8490 0.7500  4 S 2.28-2.34
Pt: 0.0000 0.5000 0.5000  6 S 2.39-2.40
Pt: 0.5000 0.5000 0.0000  6 S 2.39-2.40
S: 0.2068 0.7296 0.4772  3 Cu 2.28-2.33, 1 Pt 2.39
S: 0.2477 0.2704 0.9772  3 Cu 2.28-2.33, 1 Pt 2.39
S: 0.2494 0.2565 0.5072  2 Cu 2.34-2.59, 2 Pt 2.40
S: 0.2494 0.7422 0.9928  2 Cu 2.34-2.59, 2 Pt 2.40
S: 0.7506 0.2578 0.0072  2 Cu 2.34-2.59, 2 Pt 2.40
S: 0.7506 0.7435 0.4928  2 Cu 2.34-2.59, 2 Pt 2.40
S: 0.7523 0.7296 0.0228  3 Cu 2.28-2.33, 1 Pt 2.39
S: 0.7932 0.2704 0.5228  3 Cu 2.28-2.33, 1 Pt 2.39



Repeat the third record exactly.
Compound: Cu2PtS4
Source: Alexandria
Functional: GGA-PBE
Structure: relaxed

Results
**DOS at the Fermi energy**: 8.50 states/eV per cell
**ΔE_f (raw)**: -213 meV/atom
**E**: -4.6049 eV per atom

Lattice parameters (Å, degrees): 7.1170 7.1170 7.1170 123.50 120.93 86.22
Closest atoms and distances in Å follow each position.
Fractional coordinates of all 14 atoms:
Cu: 0.0000 0.0000 0.5000  6 S 2.33-2.59
Cu: 0.0000 0.5000 0.0000  6 S 2.33-2.59
Cu: 0.4010 0.1510 0.2500  4 S 2.28-2.34
Cu: 0.5990 0.8490 0.7500  4 S 2.28-2.34
Pt: 0.0000 0.5000 0.5000  6 S 2.39-2.40
Pt: 0.5000 0.5000 0.0000  6 S 2.39-2.40
S: 0.2068 0.7296 0.4772  3 Cu 2.28-2.33, 1 Pt 2.39
S: 0.2477 0.2704 0.9772  3 Cu 2.28-2.33, 1 Pt 2.39
S: 0.2494 0.2565 0.5072  2 Cu 2.34-2.59, 2 Pt 2.40
S: 0.2494 0.7422 0.9928  2 Cu 2.34-2.59, 2 Pt 2.40
S: 0.7506 0.2578 0.0072  2 Cu 2.34-2.59, 2 Pt 2.40
S: 0.7506 0.7435 0.4928  2 Cu 2.34-2.59, 2 Pt 2.40
S: 0.7523 0.7296 0.0228  3 Cu 2.28-2.33, 1 Pt 2.39
S: 0.7932 0.2704 0.5228  3 Cu 2.28-2.33, 1 Pt 2.39



What is the formula in the second record? HfTc2Au2



Number 3 is which compound? Cu2PtS4



What did the first record say?
Compound: BaSrAgAs
Source: Alexandria
Functional: GGA-PBE
Structure: relaxed

Results
**DOS at the Fermi energy**: 0.05 states/eV per cell
**E**: -3.4805 eV per atom

Lattice parameters (Å, degrees): 7.9200 7.9200 7.9200 90.00 90.00 90.00
Closest atoms and distances in Å follow each position.
Fractional coordinates of all 16 atoms:
Ba: 0.0000 0.0000 0.0000  4 As 3.43, 4 Ag 3.43
Ba: 0.0000 0.5000 0.5000  4 As 3.43, 4 Ag 3.43
Ba: 0.5000 0.0000 0.5000  4 As 3.43, 4 Ag 3.43
Ba: 0.5000 0.5000 0.0000  4 As 3.43, 4 Ag 3.43
Sr: 0.0000 0.0000 0.5000  4 As 3.43, 4 Ag 3.43
Sr: 0.0000 0.5000 0.0000  4 As 3.43, 4 Ag 3.43
Sr: 0.5000 0.0000 0.0000  4 As 3.43, 4 Ag 3.43
Sr: 0.5000 0.5000 0.5000  4 Ag 3.43, 4 As 3.43
Ag: 0.2500 0.2500 0.2500  4 Ba 3.43, 4 Sr 3.43
Ag: 0.2500 0.7500 0.7500  4 Ba 3.43, 4 Sr 3.43
Ag: 0.7500 0.2500 0.7500  4 Ba 3.43, 4 Sr 3.43
Ag: 0.7500 0.7500 0.2500  4 Ba 3.43, 4 Sr 3.43
As: 0.2500 0.2500 0.7500  4 Ba 3.43, 4 Sr 3.43
As: 0.2500 0.7500 0.2500  4 Ba 3.43, 4 Sr 3.43
As: 0.7500 0.2500 0.2500  4 Ba 3.43, 4 Sr 3.43
As: 0.7500 0.7500 0.7500  4 Ba 3.43, 4 Sr 3.43